## Pu2GaS4 (PBE)

Data for crystalline Pu2GaS4 at its relaxed geometry.

**Density of states at the Fermi level**: 52.2 states/eV per cell
**Energy relative to the elements, uncorrected**: -1198 meV/atom
**DFT total energy**: -113.17 eV per cell
**Space-group type**: P2_1/m

a b c (Å): 6.5417 6.5246 7.7641
angles (deg): 90.00 107.33 90.00
With the nearest neighbours (Å) after each atom.
Atoms (fractional coordinates):
Pu  0.2198  0.2500  0.0553  6 S 2.86-2.92
Pu  0.2390  0.2500  0.5573  6 S 2.79-2.93
Pu  0.7610  0.7500  0.4427  6 S 2.79-2.93
Pu  0.7802  0.7500  0.9447  6 S 2.86-2.92
Ga  0.2475  0.7500  0.8104  4 S 2.26-2.29
Ga  0.7525  0.2500  0.1896  4 S 2.26-2.29
S  0.0017  0.5074  0.2537  1 Ga 2.29
S  0.0017  0.9926  0.2537  1 Ga 2.29
S  0.4394  0.7500  0.6111  1 Ga 2.26
S  0.4401  0.7500  0.1066  1 Ga 2.27
S  0.5599  0.2500  0.8934  1 Ga 2.27
S  0.5606  0.2500  0.3889  1 Ga 2.26
S  0.9983  0.0074  0.7463  1 Ga 2.29
S  0.9983  0.4926  0.7463  1 Ga 2.29


## PuGaS3 (PBE)

Data for crystalline PuGaS3 at its relaxed geometry.

**Density of states at the Fermi level**: 15.8 states/eV per cell
**Energy relative to the elements, uncorrected**: -1073 meV/atom
**DFT total energy**: -70.21 eV per cell
**Space-group type**: P2_1/m

a b c (Å): 7.1325 3.8367 9.7357
angles (deg): 90.00 95.99 90.00
With the nearest neighbours (Å) after each atom.
Atoms (fractional coordinates):
Pu  0.2213  0.2500  0.4384  6 S 2.67-2.88
Pu  0.7787  0.7500  0.5616  6 S 2.67-2.88
Ga  0.4404  0.2500  0.8726  4 S 2.24-2.40
Ga  0.5596  0.7500  0.1274  4 S 2.24-2.40
S  0.0201  0.2500  0.6548  3 Pu 2.67
S  0.2944  0.7500  0.9545  3 Ga 2.36-2.40
S  0.4810  0.7500  0.3445  1 Ga 2.24
S  0.5190  0.2500  0.6555  1 Ga 2.24
S  0.7056  0.2500  0.0455  3 Ga 2.36-2.40
S  0.9799  0.7500  0.3452  3 Pu 2.67


## Pu2GaS (PBE)

Data for crystalline Pu2GaS at its relaxed geometry.

**Density of states at the Fermi level**: 19.1 states/eV per cell
**Energy relative to the elements, uncorrected**: -787 meV/atom
**DFT total energy**: -38.97 eV per cell
**Space-group type**: R-3m

a b c (Å): 7.7279 7.7279 7.7279
angles (deg): 29.22 29.22 29.22
With the nearest neighbours (Å) after each atom.
Atoms (fractional coordinates):
Pu  0.2412  0.2412  0.2412  3 S 2.79, 3 Ga 3.04
Pu  0.7588  0.7588  0.7588  3 S 2.79, 3 Ga 3.04
Ga  0.0000  0.0000  0.0000  6 Pu 3.04
S  0.5000  0.5000  0.5000  6 Pu 2.79